Compound: InMoAuSe3
Source: the Open Quantum Materials Database
Functional: GGA-PBE
Structure: optimized geometry

Output
Space group: Cmcm, No. 63
Crystal system: orthorhombic
Total magnetization, μB per formula unit: 0.0
Uncorrected energy, eV/atom: -4.778

Cell and atoms, written as extended XYZ:
```
12
Lattice="1.741 -8.023 0.000 1.741 8.023 0.000 0.000 0.000 9.983" Properties=species:S:1:pos:R:3 pbc="T T T"
In 1.741 5.233 7.487
In 1.741 -5.233 2.496
Mo 1.741 0.000 0.000
Mo 1.741 0.000 4.991
Au 1.741 4.951 2.496
Au 1.741 -4.951 7.487
Se 1.741 6.149 0.239
Se 1.741 6.149 4.753
Se 1.741 0.492 2.496
Se 1.741 -0.492 7.487
Se 1.741 -6.149 5.230
Se 1.741 -6.149 9.744
```

---

Compound: InTeMoAuSe2
Source: the Open Quantum Materials Database
Functional: GGA-PBE
Structure: optimized geometry

Output
Space group: Cmcm, No. 63
Crystal system: orthorhombic
Total magnetization, μB per formula unit: 2.1
Uncorrected energy, eV/atom: -4.626

Cell and atoms, written as extended XYZ:
```
12
Lattice="1.945 -7.397 0.000 1.945 7.397 0.000 0.000 0.000 10.656" Properties=species:S:1:pos:R:3 pbc="T T T"
In 1.945 4.359 7.992
In 1.945 -4.359 2.664
Te 1.945 0.698 2.664
Te 1.945 -0.698 7.992
Mo 1.945 0.000 0.000
Mo 1.945 0.000 5.328
Au 1.945 5.097 2.664
Au 1.945 -5.097 7.992
Se 1.945 5.627 0.210
Se 1.945 5.627 5.118
Se 1.945 -5.627 5.539
Se 1.945 -5.627 10.446
```